[1]
{"formula": "TbEr5In2", "functional": "PBE-GGA", "state": "relaxed", "lattice": [[3.5321, 0.0000, 0.0000], [0.0000, 10.4247, 0.0000], [0.0000, 0.0000, 12.6498]], "species": ["Tb", "Tb", "Er", "Er", "Er", "Er", "Er", "Er", "Er", "Er", "Er", "Er", "In", "In", "In", "In"], "frac_coords": [[0.0000, 0.0000, 0.0000], [0.5000, 0.5000, 0.5000], [0.0000, 0.2281, 0.3665], [0.0000, 0.2281, 0.6335], [0.0000, 0.5000, 0.0000], [0.0000, 0.7719, 0.3665], [0.0000, 0.7719, 0.6335], [0.5000, 0.0000, 0.5000], [0.5000, 0.2719, 0.1335], [0.5000, 0.2719, 0.8665], [0.5000, 0.7281, 0.1335], [0.5000, 0.7281, 0.8665], [0.0000, 0.5000, 0.2591], [0.0000, 0.5000, 0.7409], [0.5000, 0.0000, 0.2409], [0.5000, 0.0000, 0.7591]], "spacegroup": "Immm (71)", "vol_a3_per_atom": 29.11, "e_form_ev_per_atom": -0.17, "magnetic_moment_mub_per_cell": 0.0, "dos_at_fermi_per_ev_cell": 21.17, "dft_energy_ev_per_atom": -4.29}

[2]
{"formula": "MgNpAu11", "functional": "PBE-GGA", "state": "relaxed", "lattice": [[2.7864, -6.6739, 0.0000], [2.7864, 6.6739, 0.0000], [-2.7688, 0.0000, 6.8292]], "species": ["Mg", "Np", "Au", "Au", "Au", "Au", "Au", "Au", "Au", "Au", "Au", "Au", "Au"], "frac_coords": [[0.0000, 0.0000, 0.0000], [0.0000, 0.0000, 0.5000], [0.0000, 0.5000, 0.5000], [0.0055, 0.6655, 0.1532], [0.2778, 0.4888, 0.2839], [0.3345, 0.9945, 0.8468], [0.4888, 0.2778, 0.2839], [0.5000, 0.0000, 0.5000], [0.5000, 0.5000, 0.0000], [0.5112, 0.7222, 0.7161], [0.6655, 0.0055, 0.1532], [0.7222, 0.5112, 0.7161], [0.9945, 0.3345, 0.8468]], "spacegroup": "C2/m (12)", "vol_a3_per_atom": 19.54, "e_form_ev_per_atom": -0.13, "magnetic_moment_mub_per_cell": 4.2, "dos_at_fermi_per_ev_cell": 10.74, "dft_energy_ev_per_atom": -4.02}

[3]
{"formula": "Li2Ac3ZrO8", "functional": "PBE-GGA", "state": "relaxed", "lattice": [[5.7848, 0.0000, 0.0000], [-2.8924, 5.0098, 0.0000], [0.0000, 0.0000, 7.1138]], "species": ["Li", "Li", "Ac", "Ac", "Ac", "Zr", "O", "O", "O", "O", "O", "O", "O", "O"], "frac_coords": [[0.3333, 0.6667, 0.1986], [0.6667, 0.3333, 0.8014], [0.0000, 0.0000, 0.0000], [0.3333, 0.6667, 0.6385], [0.6667, 0.3333, 0.3615], [0.0000, 0.0000, 0.5000], [0.1650, 0.3299, 0.3205], [0.1650, 0.8350, 0.3205], [0.3299, 0.1650, 0.6795], [0.3333, 0.6667, 0.9441], [0.6667, 0.3333, 0.0559], [0.6701, 0.8350, 0.3205], [0.8350, 0.1650, 0.6795], [0.8350, 0.6701, 0.6795]], "spacegroup": "P-3m1 (164)", "vol_a3_per_atom": 14.73, "magnetic_moment_mub_per_cell": 1.0, "dos_at_fermi_per_ev_cell": 7.69, "formation_energy_uncorrected_mev_per_atom": -2718, "dft_energy_ev_per_atom": -7.32}